(1)
## Ba2AlRh (PBE)

Data for a relaxed structure of Ba2AlRh.

ΔH_f (0 K): -1.56 eV/f.u.
magnetization: 0.0001 μB per atom
polymorph energy (0 for the lowest one): 0.000 eV/atom

Cell lengths 7.626, 4.394, 9.232 Å; angles 90.00, 105.55, 90.00 degrees
Space group Cm (No. 8)
Unique sites:
1 Ba 0.000 0.000 0.000 [2 per cell]
2 Ba 0.167 0.000 0.517 [2 per cell]
3 Al 0.417 0.000 0.258 [2 per cell]
4 Rh 0.250 0.500 0.260 [2 per cell]

(2)
## Ba2Al2Rh (PBE)

Data for a relaxed structure of Ba2Al2Rh.

ΔH_f (0 K): -0.41 eV/f.u.
magnetization: 0.0000 μB per atom
polymorph energy (0 for the lowest one): 0.000 eV/atom

Cell lengths 6.804, 6.804, 5.770 Å; angles 90.00, 90.00, 90.00 degrees
Space group P4/mbm (No. 127)
Unique sites:
1 Ba 0.182 0.318 0.000 [4 per cell]
2 Al 0.153 0.653 0.500 [4 per cell]
3 Rh 0.000 0.000 0.500 [2 per cell]

(3)
## BaAl11Rh (PBE)

Data for a relaxed structure of BaAl11Rh.

ΔH_f (0 K): -3.14 eV/f.u.
magnetization: 0.0000 μB per atom

Cell lengths 5.228, 12.980, 7.403 Å; angles 90.00, 108.74, 90.00 degrees
Space group C2/m (No. 12)
Unique sites:
1 Ba 0.000 0.000 0.000 [2 per cell]
2 Al 0.000 0.000 0.500 [2 per cell]
3 Al 0.116 0.386 0.242 [8 per cell]
4 Al 0.182 0.175 0.362 [8 per cell]
5 Al 0.250 0.250 0.000 [4 per cell]
6 Rh 0.000 0.500 0.500 [2 per cell]

(4)
## BaAl2Rh2 (PBE)

Data for a relaxed structure of BaAl2Rh2.

ΔH_f (0 K): -3.31 eV/f.u.
magnetization: 0.0000 μB per atom

Cell lengths 4.470, 4.470, 10.669 Å; angles 90.00, 90.00, 90.00 degrees
Space group I4/mmm (No. 139)
Unique sites:
1 Ba 0.000 0.000 0.000 [2 per cell]
2 Al 0.000 0.000 0.350 [4 per cell]
3 Rh 0.000 0.500 0.250 [4 per cell]